Entry 1:
Entry from the Alexandria database: an optimized crystal structure of Tb3CeRh3 (PBE).

a = 9.466 Å, b = 9.953 Å, c = 7.015 Å
α = 90.00°, β = 91.13°, γ = 90.00°
Space group C2/m (No. 12)
Asymmetric unit:
1 Tb 0.000 0.176 0.000 (multiplicity 4)
2 Tb 0.000 0.257 0.500 (multiplicity 4)
3 Tb 0.169 0.500 0.880 (multiplicity 4)
4 Ce 0.243 0.000 0.631 (multiplicity 4)
5 Rh 0.071 0.000 0.310 (multiplicity 4)
6 Rh 0.241 0.270 0.216 (multiplicity 8)

- Electronic total energy: -6.6564 eV per atom
- Crystal system: monoclinic
- Calculated formation energy: -0.67 eV per atom
- Magnetic moment: 0.000 μB/cell


Entry 2:
Entry from the Alexandria database: an optimized crystal structure of Tb2Ce2Rh3 (PBE).

a = 10.818 Å, b = 4.701 Å, c = 7.126 Å
α = 90.00°, β = 101.96°, γ = 90.00°
Space group C2/m (No. 12)
Asymmetric unit:
1 Tb 0.136 0.000 0.417 (multiplicity 4)
2 Ce 0.127 0.500 0.861 (multiplicity 4)
3 Rh 0.000 0.500 0.500 (multiplicity 2)
4 Rh 0.189 0.500 0.212 (multiplicity 4)

- Electronic total energy: -6.7981 eV per atom
- Crystal system: monoclinic
- Calculated formation energy: -0.63 eV per atom
- Magnetic moment: 1.821 μB/cell